The following is a PBE-GGA calculation of BaCoSi after structural relaxation, from Alexandria via LeMat-Bulk.

Properties
- formation energy (no corrections) (eV per atom) = 0.502
- space-group type = F-43m, No. 216
- mass density (g/cm³) = 5.20

Cell: 4.6628 4.6628 4.6628 Å, 60.00 60.00 60.00°
Last column: nearest neighbours and their distance in Å.
Fractional positions:
Ba 0.0000 0.0000 0.0000  4 Co 2.86
Co 0.2500 0.2500 0.2500  4 Si 2.86, 4 Ba 2.86
Si 0.5000 0.5000 0.5000  4 Co 2.86



The following is a PBE-GGA calculation of BaCo4Si after structural relaxation, from Alexandria via LeMat-Bulk.

Properties
- formation energy (no corrections) (eV per atom) = 0.536
- space-group type = F-43m, No. 216
- mass density (g/cm³) = 7.06

Cell: 5.1094 5.1094 5.1094 Å, 60.00 60.00 60.00°
Last column: nearest neighbours and their distance in Å.
Fractional positions:
Ba 0.0000 0.0000 0.0000  12 Co 3.00, 4 Si 3.13
Co 0.1347 0.6218 0.6218  6 Co 2.49-2.62
Co 0.6218 0.1347 0.6218  6 Co 2.49-2.62
Co 0.6218 0.6218 0.1347  6 Co 2.49-2.62
Co 0.6218 0.6218 0.6218  6 Co 2.49-2.62
Si 0.2500 0.2500 0.2500  12 Co 2.99, 4 Ba 3.13



The following is a PBE-GGA calculation of BaCoSi2 after structural relaxation, from Alexandria via LeMat-Bulk.

Properties
- formation energy (no corrections) (eV per atom) = 0.063
- space-group type = P4mm, No. 99
- mass density (g/cm³) = 5.50

Cell: 3.2134 3.2134 7.3847 Å, 90.00 90.00 90.00°
Last column: nearest neighbours and their distance in Å.
Fractional positions:
Ba 0.0000 0.0000 0.0000  4 Ba 3.21, 5 Si 3.36-3.40, 4 Co 3.49
Co 0.5000 0.5000 0.3590  5 Si 2.26-2.39
Si 0.0000 0.0000 0.4607  4 Co 2.39
Si 0.5000 0.5000 0.6645  1 Co 2.26



The following is a PBE-GGA calculation of BaCoSi2 after structural relaxation, from Alexandria via LeMat-Bulk.

Properties
- formation energy (no corrections) (eV per atom) = -0.430
- space-group type = R-3m, No. 166
- mass density (g/cm³) = 5.12

Cell: 6.4599 6.4599 6.4599 Å, 35.65 35.65 35.65°
Last column: nearest neighbours and their distance in Å.
Fractional positions:
Ba 0.0000 0.0000 0.0000  8 Si 3.35-3.59
Co 0.5000 0.5000 0.5000  6 Si 2.35
Si 0.1980 0.1980 0.1980  3 Co 2.35, 3 Si 2.55
Si 0.8020 0.8020 0.8020  3 Co 2.35, 3 Si 2.55



The following is a PBE-GGA calculation of Ba2CoSiTc after structural relaxation, from Alexandria via LeMat-Bulk.

Properties
- formation energy (no corrections) (eV per atom) = 0.888
- space-group type = P4/mmm, No. 123
- mass density (g/cm³) = 4.58

Cell: 6.2534 6.2534 4.2584 Å, 90.00 90.00 90.00°
Last column: nearest neighbours and their distance in Å.
Fractional positions:
Ba 0.0000 0.5000 0.0000  2 Si 3.13
Ba 0.5000 0.0000 0.0000  2 Si 3.13
Co 0.0000 0.0000 0.5000  2 Si 2.13
Si 0.0000 0.0000 0.0000  2 Co 2.13
Tc 0.5000 0.5000 0.5000  8 Ba 3.78



The following is a PBE-GGA calculation of BaCoSi2W after structural relaxation, from Alexandria via LeMat-Bulk.

Properties
- formation energy (no corrections) (eV per atom) = 0.684
- space-group type = P4/mmm, No. 123
- mass density (g/cm³) = 7.36

Cell: 4.4900 4.4900 4.8797 Å, 90.00 90.00 90.00°
Last column: nearest neighbours and their distance in Å.
Fractional positions:
Ba 0.0000 0.0000 0.0000  4 W 3.17, 8 Si 3.32
Co 0.5000 0.5000 0.5000  4 Si 2.24, 2 W 2.44
Si 0.0000 0.5000 0.5000  2 Co 2.24
Si 0.5000 0.0000 0.5000  2 Co 2.24
W 0.5000 0.5000 0.0000  2 Co 2.44



The following is a PBE-GGA calculation of BaSm3Co after structural relaxation, from Alexandria via LeMat-Bulk.

Properties
- formation energy from the elements (eV/atom) = 0.060
- space-group type = Pm-3m, No. 221
- mass density (g/cm³) = 6.28

Cell: 5.5514 5.5514 5.5514 Å, 90.00 90.00 90.00°
Last column: nearest neighbours and their distance in Å.
Fractional positions:
Ba 0.0000 0.0000 0.0000  12 Sm 3.93
Sm 0.0000 0.5000 0.5000  2 Co 2.78
Sm 0.5000 0.0000 0.5000  2 Co 2.78
Sm 0.5000 0.5000 0.0000  2 Co 2.78
Co 0.5000 0.5000 0.5000  6 Sm 2.78



The following is a PBE-GGA calculation of BaCo2Sn2 after structural relaxation, from Alexandria via LeMat-Bulk.

Properties
- formation energy from the elements (eV/atom) = 0.264
- space-group type = P4/mbm, No. 127
- mass density (g/cm³) = 7.58

Cell: 8.3453 8.3453 3.1000 Å, 90.00 90.00 90.00°
Last column: nearest neighbours and their distance in Å.
Fractional positions:
Ba 0.0000 0.0000 0.0000  2 Ba 3.10, 4 Sn 3.26
Ba 0.5000 0.5000 0.0000  2 Ba 3.10, 4 Sn 3.26
Co 0.1395 0.3605 0.5000  4 Sn 2.75
Co 0.3605 0.8605 0.5000  4 Sn 2.75
Co 0.6395 0.1395 0.5000  4 Sn 2.75
Co 0.8605 0.6395 0.5000  4 Sn 2.75
Sn 0.1331 0.6331 0.0000  4 Co 2.75
Sn 0.3669 0.1331 0.0000  4 Co 2.75
Sn 0.6331 0.8669 0.0000  4 Co 2.75
Sn 0.8669 0.3669 0.0000  4 Co 2.75



The following is a PBE-GGA calculation of BaCoSn3 after structural relaxation, from Alexandria via LeMat-Bulk.

Properties
- formation energy from the elements (eV/atom) = -0.163
- space-group type = Pm-3m, No. 221
- mass density (g/cm³) = 6.76

Cell: 5.1383 5.1383 5.1383 Å, 90.00 90.00 90.00°
Last column: nearest neighbours and their distance in Å.
Fractional positions:
Ba 0.0000 0.0000 0.0000  12 Sn 3.63
Co 0.5000 0.5000 0.5000  6 Sn 2.57
Sn 0.0000 0.5000 0.5000  2 Co 2.57
Sn 0.5000 0.0000 0.5000  2 Co 2.57
Sn 0.5000 0.5000 0.0000  2 Co 2.57



The following is a PBE-GGA calculation of BaCoSn2 after structural relaxation, from Alexandria via LeMat-Bulk.

Properties
- formation energy from the elements (eV/atom) = -0.290
- space-group type = R-3m, No. 166
- mass density (g/cm³) = 6.57

Cell: 6.9777 6.9777 6.9777 Å, 36.89 36.89 36.89°
Last column: nearest neighbours and their distance in Å.
Fractional positions:
Ba 0.0000 0.0000 0.0000  6 Sn 3.50
Co 0.5000 0.5000 0.5000  6 Sn 2.69
Sn 0.2101 0.2101 0.2101  3 Co 2.69
Sn 0.7899 0.7899 0.7899  3 Co 2.69



The following is a PBE-GGA calculation of BaCo4Sn12 after structural relaxation, from Alexandria via LeMat-Bulk.

Properties
- formation energy from the elements (eV/atom) = -0.087
- space-group type = Im-3, No. 204
- mass density (g/cm³) = 7.36

Cell: 8.0748 8.0748 8.0748 Å, 109.47 109.47 109.47°
Last column: nearest neighbours and their distance in Å.
Fractional positions:
Ba 0.0000 0.0000 0.0000  12 Sn 3.54
Co 0.0000 0.0000 0.5000  6 Sn 2.56
Co 0.0000 0.5000 0.0000  6 Sn 2.56
Co 0.5000 0.0000 0.0000  6 Sn 2.56
Co 0.5000 0.5000 0.5000  6 Sn 2.56
Sn 0.1583 0.8224 0.3359  2 Co 2.56
Sn 0.1776 0.3359 0.5135  2 Co 2.56
Sn 0.1776 0.6641 0.8417  2 Co 2.56
Sn 0.3359 0.1583 0.8224  2 Co 2.56
Sn 0.3359 0.5135 0.1776  2 Co 2.56
Sn 0.4865 0.8224 0.6641  2 Co 2.56
Sn 0.5135 0.1776 0.3359  2 Co 2.56
Sn 0.6641 0.4865 0.8224  2 Co 2.56
Sn 0.6641 0.8417 0.1776  2 Co 2.56
Sn 0.8224 0.3359 0.1583  2 Co 2.56
Sn 0.8224 0.6641 0.4865  2 Co 2.56
Sn 0.8417 0.1776 0.6641  2 Co 2.56



The following is a PBE-GGA calculation of BaCoSn2 after structural relaxation, from Alexandria via LeMat-Bulk.

Properties
- formation energy from the elements (eV/atom) = -0.092
- space-group type = I4_1/amd, No. 141
- mass density (g/cm³) = 5.35

Cell: 8.9121 8.9121 8.9121 Å, 141.76 141.76 55.18°
Last column: nearest neighbours and their distance in Å.
Fractional positions:
Ba 0.3750 0.6250 0.7500  8 Sn 3.81, 4 Co 4.13
Ba 0.6250 0.3750 0.2500  8 Sn 3.81, 4 Co 4.13
Co 0.1250 0.8750 0.2500  4 Sn 2.46
Co 0.8750 0.1250 0.7500  4 Sn 2.46
Sn 0.0000 0.0000 0.0000  2 Co 2.46
Sn 0.0000 0.0000 0.5000  2 Co 2.46
Sn 0.0000 0.5000 0.0000  2 Co 2.46
Sn 0.5000 0.0000 0.5000  2 Co 2.46



The following is a PBE-GGA calculation of BaCoSn2 after structural relaxation, from Alexandria via LeMat-Bulk.

Properties
- formation energy from the elements (eV/atom) = 0.249
- space-group type = Fm-3m, No. 225
- mass density (g/cm³) = 6.85

Cell: 5.2971 5.2971 5.2971 Å, 60.00 60.00 60.00°
Last column: nearest neighbours and their distance in Å.
Fractional positions:
Ba 0.0000 0.0000 0.0000  8 Sn 3.24
Co 0.5000 0.5000 0.5000  8 Sn 3.24
Sn 0.2500 0.2500 0.2500  4 Ba 3.24, 4 Co 3.24
Sn 0.7500 0.7500 0.7500  4 Ba 3.24, 4 Co 3.24



The following is a PBE-GGA calculation of BaCoSn4 after structural relaxation, from Alexandria via LeMat-Bulk.

Properties
- formation energy from the elements (eV/atom) = -0.030
- space-group type = P4/mmm, No. 123
- mass density (g/cm³) = 5.81

Cell: 4.8807 4.8807 8.0580 Å, 90.00 90.00 90.00°
Last column: nearest neighbours and their distance in Å.
Fractional positions:
Ba 0.0000 0.0000 0.0000  8 Sn 3.74
Co 0.5000 0.5000 0.5000  6 Sn 2.44-2.60
Sn 0.0000 0.5000 0.5000  2 Co 2.44
Sn 0.5000 0.0000 0.5000  2 Co 2.44
Sn 0.5000 0.5000 0.1777  1 Co 2.60, 1 Sn 2.86
Sn 0.5000 0.5000 0.8223  1 Co 2.60, 1 Sn 2.86